[1]
{"formula": "GaH20C2S2NO14", "functional": "SCAN", "state": "PBEsol geometry", "final_energy_ev_per_atom": -6.576, "magnetic_moment_mub_per_fu": 0.10, "cell": [[6.2538, 0.0000, 0.0000], [0.0000, 10.8627, 0.0000], [-2.4855, 0.0000, 10.7504]], "species": ["Ga", "Ga", "H", "H", "H", "H", "H", "H", "H", "H", "H", "H", "H", "H", "H", "H", "H", "H", "H", "H", "H", "H", "H", "H", "H", "H", "H", "H", "H", "H", "H", "H", "H", "H", "H", "H", "H", "H", "H", "H", "H", "H", "C", "C", "C", "C", "S", "S", "S", "S", "N", "N", "O", "O", "O", "O", "O", "O", "O", "O", "O", "O", "O", "O", "O", "O", "O", "O", "O", "O", "O", "O", "O", "O", "O", "O", "O", "O", "O", "O"], "frac_coords": [[0.2499, 0.0000, 0.2438], [0.7501, 0.5000, 0.7562], [0.0061, 0.1503, 0.3349], [0.0460, 0.5581, 0.1837], [0.0562, 0.9894, 0.6288], [0.0653, 0.8508, 0.0596], [0.0666, 0.5124, 0.6346], [0.0869, 0.9090, 0.8334], [0.1012, 0.4741, 0.9368], [0.1085, 0.8099, 0.3508], [0.1136, 0.1844, 0.1043], [0.1821, 0.1200, 0.6810], [0.2371, 0.0449, 0.8953], [0.3773, 0.8684, 0.7190], [0.3811, 0.8164, 0.3919], [0.3888, 0.1926, 0.1407], [0.4006, 0.5275, 0.5699], [0.4279, 0.9816, 0.6091], [0.4331, 0.4851, 0.8742], [0.4356, 0.1488, 0.4330], [0.4848, 0.5098, 0.2254], [0.4939, 0.8467, 0.1615], [0.5061, 0.3467, 0.8385], [0.5152, 0.0098, 0.7746], [0.5644, 0.6488, 0.5670], [0.5669, 0.9851, 0.1258], [0.5721, 0.4816, 0.3909], [0.5994, 0.0275, 0.4301], [0.6112, 0.6926, 0.8593], [0.6189, 0.3164, 0.6081], [0.6227, 0.3684, 0.2810], [0.7629, 0.5449, 0.1047], [0.8179, 0.6200, 0.3190], [0.8864, 0.6844, 0.8957], [0.8915, 0.3099, 0.6492], [0.8988, 0.9741, 0.0632], [0.9131, 0.4090, 0.1666], [0.9334, 0.0124, 0.3654], [0.9347, 0.3508, 0.9404], [0.9438, 0.4894, 0.3712], [0.9540, 0.0581, 0.8163], [0.9939, 0.6503, 0.6651], [0.1080, 0.0080, 0.8197], [0.3900, 0.9671, 0.7006], [0.6100, 0.4671, 0.2994], [0.8920, 0.5080, 0.1803], [0.1750, 0.3181, 0.5064], [0.3288, 0.6805, 0.9970], [0.6712, 0.1805, 0.0030], [0.8250, 0.8181, 0.4936], [0.1767, 0.0257, 0.7011], [0.8233, 0.5257, 0.2989], [0.0058, 0.5616, 0.6960], [0.0204, 0.2836, 0.3901], [0.0472, 0.9344, 0.0968], [0.0999, 0.7230, 0.9957], [0.1102, 0.2641, 0.6167], [0.1694, 0.4564, 0.5174], [0.2470, 0.8387, 0.3259], [0.2515, 0.1623, 0.1689], [0.3252, 0.5432, 0.9815], [0.4021, 0.2781, 0.5044], [0.4051, 0.7391, 0.8935], [0.4488, 0.0638, 0.3991], [0.4746, 0.7112, 0.1183], [0.4933, 0.4372, 0.8103], [0.5067, 0.9372, 0.1897], [0.5254, 0.2112, 0.8817], [0.5512, 0.5638, 0.6009], [0.5949, 0.2391, 0.1065], [0.5979, 0.7781, 0.4956], [0.6748, 0.0432, 0.0185], [0.7485, 0.6623, 0.8311], [0.7530, 0.3387, 0.6741], [0.8306, 0.9564, 0.4826], [0.8898, 0.7641, 0.3833], [0.9001, 0.2230, 0.0043], [0.9528, 0.4344, 0.9032], [0.9796, 0.7836, 0.6099], [0.9942, 0.0616, 0.3040]]}

=====

[2]
{"formula": "GaH20C2S2NO14", "functional": "SCAN", "state": "PBEsol geometry", "final_energy_ev_per_atom": -6.577, "magnetic_moment_mub_per_fu": 0.23, "cell": [[6.4425, 0.0000, 0.0000], [0.0000, 10.3402, 0.0000], [-4.5372, 0.0000, 11.5234]], "species": ["Ga", "Ga", "H", "H", "H", "H", "H", "H", "H", "H", "H", "H", "H", "H", "H", "H", "H", "H", "H", "H", "H", "H", "H", "H", "H", "H", "H", "H", "H", "H", "H", "H", "H", "H", "H", "H", "H", "H", "H", "H", "H", "H", "C", "C", "C", "C", "S", "S", "S", "S", "N", "N", "O", "O", "O", "O", "O", "O", "O", "O", "O", "O", "O", "O", "O", "O", "O", "O", "O", "O", "O", "O", "O", "O", "O", "O", "O", "O", "O", "O"], "frac_coords": [[0.0000, 0.2492, 0.0000], [0.0000, 0.7508, 0.5000], [0.0040, 0.4367, 0.1453], [0.0040, 0.5633, 0.6453], [0.0084, 0.4029, 0.8268], [0.0084, 0.5971, 0.3268], [0.1467, 0.3091, 0.4355], [0.1467, 0.6909, 0.9355], [0.1876, 0.2829, 0.8470], [0.1876, 0.7171, 0.3470], [0.2397, 0.4452, 0.1182], [0.2397, 0.5548, 0.6182], [0.2855, 0.1857, 0.3839], [0.2855, 0.8143, 0.8839], [0.3144, 0.0845, 0.0957], [0.3144, 0.9155, 0.5957], [0.3677, 0.3522, 0.3857], [0.3677, 0.6478, 0.8857], [0.4154, 0.1885, 0.5912], [0.4154, 0.8115, 0.0912], [0.4309, 0.2286, 0.1188], [0.4309, 0.7714, 0.6188], [0.4842, 0.3483, 0.5955], [0.4842, 0.6517, 0.0955], [0.5695, 0.2726, 0.8815], [0.5695, 0.7274, 0.3815], [0.6821, 0.1320, 0.5058], [0.6821, 0.8680, 0.0058], [0.6908, 0.4157, 0.9046], [0.6908, 0.5843, 0.4046], [0.7554, 0.2999, 0.5074], [0.7554, 0.7001, 0.0074], [0.7589, 0.0537, 0.8823], [0.7589, 0.9463, 0.3823], [0.8101, 0.2144, 0.6423], [0.8101, 0.7856, 0.1423], [0.8150, 0.2176, 0.1530], [0.8150, 0.7824, 0.6530], [0.9903, 0.0950, 0.1718], [0.9903, 0.9050, 0.6718], [0.9931, 0.0638, 0.8532], [0.9931, 0.9362, 0.3532], [0.3061, 0.2783, 0.4303], [0.3061, 0.7217, 0.9303], [0.6960, 0.2244, 0.5516], [0.6960, 0.7756, 0.0516], [0.3291, 0.0707, 0.7646], [0.3291, 0.9293, 0.2646], [0.6750, 0.4327, 0.2366], [0.6750, 0.5673, 0.7366], [0.4724, 0.2613, 0.5492], [0.4724, 0.7387, 0.0492], [0.0820, 0.4095, 0.0915], [0.0820, 0.5905, 0.5915], [0.0970, 0.3347, 0.8833], [0.0970, 0.6653, 0.3833], [0.1137, 0.0182, 0.7652], [0.1137, 0.9818, 0.2652], [0.3016, 0.1766, 0.0648], [0.3016, 0.8234, 0.5648], [0.3320, 0.0562, 0.6451], [0.3320, 0.9438, 0.1451], [0.3427, 0.2120, 0.7919], [0.3427, 0.7880, 0.2919], [0.4796, 0.4963, 0.6537], [0.4796, 0.5037, 0.1537], [0.5179, 0.0006, 0.8490], [0.5179, 0.9994, 0.3490], [0.6579, 0.2937, 0.2037], [0.6579, 0.7063, 0.7037], [0.6774, 0.4462, 0.3557], [0.6774, 0.5538, 0.8557], [0.7001, 0.3234, 0.9358], [0.7001, 0.6766, 0.4358], [0.8843, 0.4884, 0.2303], [0.8843, 0.5116, 0.7303], [0.9019, 0.1636, 0.1160], [0.9019, 0.8364, 0.6160], [0.9175, 0.0890, 0.9084], [0.9175, 0.9110, 0.4084]]}

=====

[3]
{"formula": "Hf2GaC", "functional": "SCAN", "state": "PBEsol geometry", "final_energy_ev_per_atom": -37.452, "magnetic_moment_mub_per_fu": 0.00, "e_form_ev_per_fu": 1.984, "cell": [[0.0000, 3.1189, 3.1189], [3.1189, 0.0000, 3.1189], [3.1189, 3.1189, 0.0000]], "species": ["Hf", "Hf", "Ga", "C"], "frac_coords": [[0.2500, 0.2500, 0.2500], [0.7500, 0.7500, 0.7500], [0.0000, 0.0000, 0.0000], [0.5000, 0.5000, 0.5000]]}

=====

[4]
{"formula": "HfGaC3", "functional": "SCAN", "state": "PBEsol geometry", "final_energy_ev_per_atom": -19.941, "magnetic_moment_mub_per_fu": 0.00, "e_form_ev_per_fu": 9.613, "cell": [[3.8524, 0.0000, 0.0000], [0.0000, 3.8524, 0.0000], [0.0000, 0.0000, 3.8524]], "species": ["Hf", "Ga", "C", "C", "C"], "frac_coords": [[0.0000, 0.0000, 0.0000], [0.5000, 0.5000, 0.5000], [0.0000, 0.5000, 0.5000], [0.5000, 0.0000, 0.5000], [0.5000, 0.5000, 0.0000]]}

=====

[5]
{"formula": "HfGa3C", "functional": "SCAN", "state": "PBEsol geometry", "final_energy_ev_per_atom": -22.407, "magnetic_moment_mub_per_fu": 0.28, "e_form_ev_per_fu": 9.776, "cell": [[5.1341, 0.0000, 0.0000], [0.0000, 5.1341, 0.0000], [0.0000, 0.0000, 5.1341]], "species": ["Hf", "Ga", "Ga", "Ga", "C"], "frac_coords": [[0.0000, 0.0000, 0.0000], [0.0000, 0.0000, 0.5000], [0.0000, 0.5000, 0.0000], [0.5000, 0.0000, 0.0000], [0.5000, 0.5000, 0.5000]]}

=====

[6]
{"formula": "HfGa3C", "functional": "SCAN", "state": "PBEsol geometry", "final_energy_ev_per_atom": -23.607, "magnetic_moment_mub_per_fu": 0.00, "e_form_ev_per_fu": 3.779, "cell": [[4.2611, 0.0000, 0.0000], [0.0000, 4.2611, 0.0000], [0.0000, 0.0000, 4.2611]], "species": ["Hf", "Ga", "Ga", "Ga", "C"], "frac_coords": [[0.0000, 0.0000, 0.0000], [0.0000, 0.5000, 0.5000], [0.5000, 0.0000, 0.5000], [0.5000, 0.5000, 0.0000], [0.5000, 0.5000, 0.5000]]}